(1)
A plane-wave DFT calculation with GGA-PBE was carried out for crystalline V12FeMo6 at its relaxed geometry. Values from VASP.

Values from the calculation:
Formation enthalpy at 0 K, eV/atom: 0.465
V, Å³/f.u.: 293
VASP energy, eV/atom: -9.1596
DOS at the Fermi energy, states/eV per atom: 1.22
Space-group type: R-3m, No. 166

Cell and atoms, written as Quantum ESPRESSO input:
```
&SYSTEM
  ibrav = 0, nat = 19, ntyp = 3
/
ATOMIC_SPECIES
V 50.94 V.upf
Fe 55.84 Fe.upf
Mo 95.94 Mo.upf
CELL_PARAMETERS angstrom
6.099 3.521 2.272
-6.099 3.521 2.272
0.000 -7.042 2.272
ATOMIC_POSITIONS angstrom
V -2.369 -2.939 2.272
V -3.730 -0.582 2.272
V 0.000 -1.870 2.274
V -1.619 0.935 2.274
V -3.730 0.582 4.545
V -1.361 3.521 2.272
V -1.619 -0.935 4.543
V 1.619 0.935 2.274
V -2.369 2.939 4.545
V 1.361 3.521 2.272
V 1.619 -0.935 4.543
V 0.000 1.870 4.543
Fe 0.000 0.000 3.408
Mo 0.000 -4.430 2.331
Mo -3.836 2.215 2.331
Mo -3.836 -2.215 4.486
Mo 3.836 2.215 2.331
Mo 3.836 -2.215 4.486
Mo 0.000 4.430 4.486
```


(2)
A plane-wave DFT calculation with GGA-PBE was carried out for crystalline V2FeMo at its relaxed geometry. Values from VASP.

Values from the calculation:
Formation enthalpy at 0 K, eV/atom: 0.473
V, Å³/f.u.: 56
VASP energy, eV/atom: -8.9093
DOS at the Fermi energy, states/eV per atom: 1.19
Space-group type: I-42d, No. 122

Cell and atoms, written as Quantum ESPRESSO input:
```
&SYSTEM
  ibrav = 0, nat = 8, ntyp = 3
/
ATOMIC_SPECIES
V 50.94 V.upf
Fe 55.84 Fe.upf
Mo 95.94 Mo.upf
CELL_PARAMETERS angstrom
-3.309 3.309 2.551
3.309 -3.309 2.551
3.309 3.309 -2.551
ATOMIC_POSITIONS angstrom
V 4.963 1.480 -0.638
V 1.480 1.654 0.638
V -1.654 1.828 1.913
V 1.828 1.654 3.189
Fe 0.000 0.000 0.000
Fe 0.000 3.309 1.276
Mo 3.309 0.000 1.276
Mo 0.000 0.000 2.551
```


(3)
A plane-wave DFT calculation with GGA-PBE was carried out for crystalline V6FeMo2 at its relaxed geometry. Values from VASP.

Values from the calculation:
Formation enthalpy at 0 K, eV/atom: 0.312
Polymorph energy (0 for the lowest one), meV/atom: 230
V, Å³/f.u.: 127
VASP energy, eV/atom: -9.1143
DOS at the Fermi energy, states/eV per atom: 1.54
Space-group type: P-6m2, No. 187

Cell and atoms, written as Quantum ESPRESSO input:
```
&SYSTEM
  ibrav = 0, nat = 9, ntyp = 3
/
ATOMIC_SPECIES
V 50.94 V.upf
Fe 55.84 Fe.upf
Mo 95.94 Mo.upf
CELL_PARAMETERS angstrom
2.670 0.000 0.000
-1.335 2.313 0.000
0.000 0.000 20.501
ATOMIC_POSITIONS angstrom
V 0.000 0.000 1.219
V 0.000 0.000 6.019
V 0.000 0.000 14.482
V 0.000 0.000 19.282
V 0.000 1.542 8.299
V 0.000 1.542 12.202
Fe 0.000 0.000 10.250
Mo 0.000 1.542 3.598
Mo 0.000 1.542 16.903
```


(4)
A plane-wave DFT calculation with GGA-PBE was carried out for crystalline V7Fe2Mo2 at its relaxed geometry. Values from VASP.

Values from the calculation:
Formation enthalpy at 0 K, eV/atom: 0.117
V, Å³/f.u.: 150
VASP energy, eV/atom: -9.1935
DOS at the Fermi energy, states/eV per atom: 1.13
Space-group type: P-1, No. 2

Cell and atoms, written as Quantum ESPRESSO input:
```
&SYSTEM
  ibrav = 0, nat = 11, ntyp = 3
/
ATOMIC_SPECIES
V 50.94 V.upf
Fe 55.84 Fe.upf
Mo 95.94 Mo.upf
CELL_PARAMETERS angstrom
4.640 0.000 0.000
-0.003 6.003 0.000
-2.318 -1.332 5.401
ATOMIC_POSITIONS angstrom
V 0.000 0.000 0.000
V -0.001 4.725 1.974
V -1.240 1.673 5.399
V 0.003 3.801 4.210
V 2.316 0.870 1.191
V 3.559 2.999 0.003
V 2.320 -0.053 3.428
Fe -0.001 -0.036 4.267
Fe 2.320 4.707 1.134
Mo -0.002 1.644 2.446
Mo 2.321 3.027 2.955
```


(5)
A plane-wave DFT calculation with GGA-PBE was carried out for crystalline V4FeMo3 at its relaxed geometry. Values from VASP.

Values from the calculation:
Formation enthalpy at 0 K, eV/atom: -0.115
V, Å³/f.u.: 112
VASP energy, eV/atom: -9.7936
DOS at the Fermi energy, states/eV per atom: 0.65
Space-group type: P4/mmm, No. 123

Cell and atoms, written as Quantum ESPRESSO input:
```
&SYSTEM
  ibrav = 0, nat = 8, ntyp = 3
/
ATOMIC_SPECIES
V 50.94 V.upf
Fe 55.84 Fe.upf
Mo 95.94 Mo.upf
CELL_PARAMETERS angstrom
3.039 0.000 0.000
0.000 3.039 0.000
0.000 0.000 12.084
ATOMIC_POSITIONS angstrom
V 0.000 0.000 1.419
V 0.000 0.000 4.483
V 0.000 0.000 7.601
V 0.000 0.000 10.665
Fe 1.520 1.520 0.000
Mo 1.520 1.520 2.939
Mo 1.520 1.520 6.042
Mo 1.520 1.520 9.145
```


(6)
A plane-wave DFT calculation with GGA-PBE was carried out for crystalline V2FeMo at its relaxed geometry. Values from VASP.

Values from the calculation:
Formation enthalpy at 0 K, eV/atom: -0.105
V, Å³/f.u.: 53
VASP energy, eV/atom: -9.4874
DOS at the Fermi energy, states/eV per atom: 0.78
Space-group type: P4/mmm, No. 123

Cell and atoms, written as Quantum ESPRESSO input:
```
&SYSTEM
  ibrav = 0, nat = 4, ntyp = 3
/
ATOMIC_SPECIES
V 50.94 V.upf
Fe 55.84 Fe.upf
Mo 95.94 Mo.upf
CELL_PARAMETERS angstrom
3.006 0.000 0.000
0.000 3.006 0.000
0.000 0.000 5.909
ATOMIC_POSITIONS angstrom
V 0.000 0.000 1.431
V 0.000 0.000 4.479
Fe 1.503 1.503 0.000
Mo 1.503 1.503 2.955
```


(7)
A plane-wave DFT calculation with GGA-PBE was carried out for crystalline V4Fe2Mo at its relaxed geometry. Values from VASP.

Values from the calculation:
Formation enthalpy at 0 K, eV/atom: 1.126
Polymorph energy (0 for the lowest one), meV/atom: 899
V, Å³/f.u.: 120
VASP energy, eV/atom: -8.0498
DOS at the Fermi energy, states/eV per atom: 1.40
Space-group type: I4/mmm, No. 139

Cell and atoms, written as Quantum ESPRESSO input:
```
&SYSTEM
  ibrav = 0, nat = 7, ntyp = 3
/
ATOMIC_SPECIES
V 50.94 V.upf
Fe 55.84 Fe.upf
Mo 95.94 Mo.upf
CELL_PARAMETERS angstrom
-2.246 2.246 5.942
2.246 -2.246 5.942
2.246 2.246 -5.942
ATOMIC_POSITIONS angstrom
V 2.246 0.000 0.000
V 0.000 0.000 2.470
V 0.000 2.246 0.000
V 0.000 0.000 9.413
Fe 0.000 0.000 4.671
Fe 0.000 0.000 7.213
Mo 0.000 0.000 0.000
```


(8)
A plane-wave DFT calculation with GGA-PBE was carried out for crystalline V2Fe2Mo at its relaxed geometry. Values from VASP.

Values from the calculation:
Formation enthalpy at 0 K, eV/atom: 0.061
Polymorph energy (0 for the lowest one), meV/atom: 20
V, Å³/f.u.: 64
VASP energy, eV/atom: -9.1377
DOS at the Fermi energy, states/eV per atom: 1.27
Space-group type: P4/mbm, No. 127

Cell and atoms, written as Quantum ESPRESSO input:
```
&SYSTEM
  ibrav = 0, nat = 10, ntyp = 3
/
ATOMIC_SPECIES
V 50.94 V.upf
Fe 55.84 Fe.upf
Mo 95.94 Mo.upf
CELL_PARAMETERS angstrom
6.848 0.000 0.000
0.000 6.848 0.000
0.000 0.000 2.717
ATOMIC_POSITIONS angstrom
V 1.095 2.329 0.000
V 2.329 5.753 0.000
V 4.518 1.095 0.000
V 5.753 4.518 0.000
Fe 0.925 4.349 1.358
Fe 2.499 0.925 1.358
Fe 4.349 5.923 1.358
Fe 5.923 2.499 1.358
Mo 0.000 0.000 1.358
Mo 3.424 3.424 1.358
```


(9)
A plane-wave DFT calculation with GGA-PBE was carried out for crystalline V6FeMo2 at its relaxed geometry. Values from VASP.

Values from the calculation:
Formation enthalpy at 0 K, eV/atom: 0.082
Polymorph energy (0 for the lowest one), meV/atom: 0
V, Å³/f.u.: 124
VASP energy, eV/atom: -9.3447
DOS at the Fermi energy, states/eV per atom: 1.15
Space-group type: C2/m, No. 12

Cell and atoms, written as Quantum ESPRESSO input:
```
&SYSTEM
  ibrav = 0, nat = 9, ntyp = 3
/
ATOMIC_SPECIES
V 50.94 V.upf
Fe 55.84 Fe.upf
Mo 95.94 Mo.upf
CELL_PARAMETERS angstrom
6.384 -3.813 0.000
6.384 3.813 0.000
-0.139 0.000 2.551
ATOMIC_POSITIONS angstrom
V 4.281 1.279 0.484
V 6.384 2.440 0.000
V 8.347 1.279 2.067
V 4.281 -1.279 0.484
V 6.384 -2.440 0.000
V 8.347 -1.279 2.067
Fe 6.314 0.000 1.276
Mo 2.088 0.000 1.264
Mo 10.540 0.000 1.287
```


(10)
A plane-wave DFT calculation with GGA-PBE was carried out for crystalline V3FeMo3 at its relaxed geometry. Values from VASP.

Values from the calculation:
Formation enthalpy at 0 K, eV/atom: -0.073
V, Å³/f.u.: 98
VASP energy, eV/atom: -9.8317
DOS at the Fermi energy, states/eV per atom: 0.56
Space-group type: P2_1/m, No. 11

Cell and atoms, written as Quantum ESPRESSO input:
```
&SYSTEM
  ibrav = 0, nat = 14, ntyp = 3
/
ATOMIC_SPECIES
V 50.94 V.upf
Fe 55.84 Fe.upf
Mo 95.94 Mo.upf
CELL_PARAMETERS angstrom
6.611 0.000 0.000
0.000 4.294 0.000
-2.793 0.000 6.909
ATOMIC_POSITIONS angstrom
V 0.181 1.074 0.710
V -1.233 3.221 4.236
V 2.251 3.221 0.214
V 1.567 1.074 6.695
V 5.051 1.074 2.673
V 3.637 3.221 6.199
Fe -0.890 1.074 5.715
Fe 4.708 3.221 1.194
Mo 0.465 3.221 2.175
Mo 0.807 1.074 3.712
Mo 1.180 3.221 5.246
Mo 2.638 1.074 1.664
Mo 3.011 3.221 3.197
Mo 3.353 1.074 4.735
```


(11)
A plane-wave DFT calculation with GGA-PBE was carried out for crystalline VFeMo2 at its relaxed geometry. Values from VASP.

Values from the calculation:
Formation enthalpy at 0 K, eV/atom: 0.609
Polymorph energy (0 for the lowest one), meV/atom: 600
V, Å³/f.u.: 59
VASP energy, eV/atom: -9.2023
DOS at the Fermi energy, states/eV per atom: 1.27
Space-group type: I-42d, No. 122

Cell and atoms, written as Quantum ESPRESSO input:
```
&SYSTEM
  ibrav = 0, nat = 8, ntyp = 3
/
ATOMIC_SPECIES
V 50.94 V.upf
Fe 55.84 Fe.upf
Mo 95.94 Mo.upf
CELL_PARAMETERS angstrom
-3.429 3.429 2.527
3.429 -3.429 2.527
3.429 3.429 -2.527
ATOMIC_POSITIONS angstrom
V 0.000 0.000 0.000
V 0.000 3.429 1.264
Fe 3.429 0.000 1.264
Fe 0.000 0.000 2.527
Mo 1.714 -1.562 1.895
Mo 1.867 1.714 0.632
Mo 1.714 4.990 -0.632
Mo 1.562 1.714 3.159
```


(12)
A plane-wave DFT calculation with GGA-PBE was carried out for crystalline VFeMo at its relaxed geometry. Values from VASP.

Values from the calculation:
Formation enthalpy at 0 K, eV/atom: 0.036
Polymorph energy (0 for the lowest one), meV/atom: 31
V, Å³/f.u.: 40
VASP energy, eV/atom: -9.4352
DOS at the Fermi energy, states/eV per atom: 1.22
Space-group type: I4mm, No. 107

Cell and atoms, written as Quantum ESPRESSO input:
```
&SYSTEM
  ibrav = 0, nat = 3, ntyp = 3
/
ATOMIC_SPECIES
V 50.94 V.upf
Fe 55.84 Fe.upf
Mo 95.94 Mo.upf
CELL_PARAMETERS angstrom
-1.511 1.511 4.429
1.511 -1.511 4.429
1.511 1.511 -4.429
ATOMIC_POSITIONS angstrom
V 0.000 0.000 0.000
Fe 0.000 0.000 3.035
Mo 0.000 0.000 5.957
```